No. 1
Computed, not measured: crystalline TbCeBiPb at its relaxed geometry at the GGA-PBE level of DFT.

DFT total energy in eV per cell: -80.131
Calculated density in Mg/m³: 9.95
Crystal system: cubic
ΔH_f (0 K) in eV/atom: -0.47
SG: F-43m, No. 216

Unit cell a=7.8151 b=7.8151 c=7.8151 alpha=90.00 beta=90.00 gamma=90.00
Last column: nearest neighbours and their distance in Å.
Fractional positions:
1 Tb 0.0000 0.0000 0.0000  4 Bi 3.38, 4 Pb 3.38
2 Tb 0.0000 0.5000 0.5000  4 Bi 3.38, 4 Pb 3.38
3 Tb 0.5000 0.0000 0.5000  4 Bi 3.38, 4 Pb 3.38
4 Tb 0.5000 0.5000 0.0000  4 Bi 3.38, 4 Pb 3.38
5 Ce 0.0000 0.0000 0.5000  4 Pb 3.38, 4 Bi 3.38
6 Ce 0.0000 0.5000 0.0000  4 Pb 3.38, 4 Bi 3.38
7 Ce 0.5000 0.0000 0.0000  4 Pb 3.38, 4 Bi 3.38
8 Ce 0.5000 0.5000 0.5000  4 Pb 3.38, 4 Bi 3.38
9 Bi 0.2500 0.2500 0.2500  4 Ce 3.38, 4 Tb 3.38
10 Bi 0.2500 0.7500 0.7500  4 Tb 3.38, 4 Ce 3.38
11 Bi 0.7500 0.2500 0.7500  4 Tb 3.38, 4 Ce 3.38
12 Bi 0.7500 0.7500 0.2500  4 Tb 3.38, 4 Ce 3.38
13 Pb 0.2500 0.2500 0.7500  4 Tb 3.38, 4 Ce 3.38
14 Pb 0.2500 0.7500 0.2500  4 Tb 3.38, 4 Ce 3.38
15 Pb 0.7500 0.2500 0.2500  4 Tb 3.38, 4 Ce 3.38
16 Pb 0.7500 0.7500 0.7500  4 Tb 3.38, 4 Ce 3.38

=====

No. 2
Computed, not measured: crystalline MnBe2Os at its relaxed geometry at the GGA-PBE level of DFT.

DFT total energy in eV per cell: -104.740
Calculated density in Mg/m³: 10.10
Crystal system: tetragonal
ΔH_f (0 K) in eV/atom: 0.42
SG: I-42d, No. 122

Unit cell a=5.9725 b=5.9725 c=4.8532 alpha=90.00 beta=90.00 gamma=90.00
Last column: nearest neighbours and their distance in Å.
Fractional positions:
1 Mn 0.0000 0.0000 0.0000  4 Be 2.15
2 Mn 0.0000 0.5000 0.2500  4 Be 2.15
3 Mn 0.5000 0.0000 0.7500  4 Be 2.15
4 Mn 0.5000 0.5000 0.5000  4 Be 2.15
5 Be 0.2381 0.2500 0.1250  2 Mn 2.15, 2 Os 2.25
6 Be 0.2500 0.7381 0.3750  2 Mn 2.15, 2 Os 2.25
7 Be 0.2500 0.7619 0.8750  2 Mn 2.15, 2 Os 2.25
8 Be 0.2619 0.2500 0.6250  2 Mn 2.15, 2 Os 2.25
9 Be 0.7381 0.7500 0.6250  2 Mn 2.15, 2 Os 2.25
10 Be 0.7500 0.2381 0.8750  2 Mn 2.15, 2 Os 2.25
11 Be 0.7500 0.2619 0.3750  2 Mn 2.15, 2 Os 2.25
12 Be 0.7619 0.7500 0.1250  2 Mn 2.15, 2 Os 2.25
13 Os 0.0000 0.0000 0.5000  4 Be 2.25, 2 Mn 2.43
14 Os 0.0000 0.5000 0.7500  4 Be 2.25, 2 Mn 2.43
15 Os 0.5000 0.0000 0.2500  4 Be 2.25, 2 Mn 2.43
16 Os 0.5000 0.5000 0.0000  4 Be 2.25, 2 Mn 2.43

=====

No. 3
Computed, not measured: crystalline FeCuHg2 at its relaxed geometry at the GGA-PBE level of DFT.

DFT total energy in eV per cell: -11.732
Calculated density in Mg/m³: 12.81
Crystal system: orthorhombic
ΔH_f (0 K) in eV/atom: 0.36
SG: Pmmm, No. 47

Unit cell a=3.0195 b=3.0960 c=7.2175 alpha=90.00 beta=90.00 gamma=90.00
Last column: nearest neighbours and their distance in Å.
Fractional positions:
1 Fe 0.0000 0.0000 0.0000  8 Hg 2.83, 4 Fe 3.02-3.10
2 Cu 0.0000 0.0000 0.5000  8 Hg 2.80, 4 Cu 3.02-3.10
3 Hg 0.5000 0.5000 0.2533  4 Cu 2.80, 4 Fe 2.83, 4 Hg 3.02-3.10
4 Hg 0.5000 0.5000 0.7467  4 Cu 2.80, 4 Fe 2.83, 4 Hg 3.02-3.10

=====

No. 4
Computed, not measured: crystalline TaReW2 at its relaxed geometry at the GGA-PBE level of DFT.

DFT total energy in eV per cell: -101.180
Calculated density in Mg/m³: 18.76
Crystal system: monoclinic
ΔH_f (0 K) in eV/atom: -0.10
SG: C2/m, No. 12

Unit cell a=5.5006 b=9.0389 c=2.7750 alpha=90.00 beta=109.42 gamma=90.00
Last column: nearest neighbours and their distance in Å.
Fractional positions:
1 Ta 0.0000 0.0000 0.0000  2 Re 2.75, 4 W 2.77, 2 Ta 2.78
2 Ta 0.5000 0.5000 0.0000  2 Re 2.75, 4 W 2.77, 2 Ta 2.78
3 Re 0.0000 0.5000 0.0000  2 Ta 2.75, 4 W 2.77, 2 Re 2.78
4 Re 0.5000 0.0000 0.0000  2 Ta 2.75, 4 W 2.77, 2 Re 2.78
5 W 0.2500 0.2500 0.5000  4 W 2.75-2.78, 2 Ta 2.77, 2 Re 2.77
6 W 0.2500 0.7500 0.5000  4 W 2.75-2.78, 2 Ta 2.77, 2 Re 2.77
7 W 0.7500 0.2500 0.5000  4 W 2.75-2.78, 2 Ta 2.77, 2 Re 2.77
8 W 0.7500 0.7500 0.5000  4 W 2.75-2.78, 2 Ta 2.77, 2 Re 2.77

=====

No. 5
Computed, not measured: crystalline BaCaGe2Pd5 at its relaxed geometry at the GGA-PBE level of DFT.

DFT total energy in eV per cell: -44.180
Calculated density in Mg/m³: 7.85
Crystal system: tetragonal
ΔH_f (0 K) in eV/atom: -0.56
SG: P4/mmm, No. 123

Unit cell a=4.4431 b=4.4431 c=9.1610 alpha=90.00 beta=90.00 gamma=90.00
Last column: nearest neighbours and their distance in Å.
Fractional positions:
1 Ba 0.0000 0.0000 0.0000  12 Pd 3.14-3.15
2 Ca 0.0000 0.0000 0.5000  8 Pd 3.23, 8 Ge 3.39
3 Ge 0.5000 0.5000 0.3611  4 Pd 2.47, 1 Ge 2.55
4 Ge 0.5000 0.5000 0.6389  4 Pd 2.47, 1 Ge 2.55
5 Pd 0.0000 0.5000 0.2434  2 Ge 2.47
6 Pd 0.0000 0.5000 0.7566  2 Ge 2.47
7 Pd 0.5000 0.0000 0.2434  2 Ge 2.47
8 Pd 0.5000 0.0000 0.7566  2 Ge 2.47
9 Pd 0.5000 0.5000 0.0000  4 Ba 3.14, 8 Pd 3.15, 2 Ge 3.31

=====

No. 6
Computed, not measured: crystalline TbPm2AgTe5 at its relaxed geometry at the GGA-PBE level of DFT.

DFT total energy in eV per cell: -86.474
Calculated density in Mg/m³: 7.21
Crystal system: orthorhombic
ΔE_f (raw) in kJ/mol of formula units: -1017.5
SG: Cmc2_1, No. 36

Unit cell a=9.6931 b=9.6931 c=13.3104 alpha=90.00 beta=90.00 gamma=153.89
Last column: nearest neighbours and their distance in Å.
Fractional positions:
1 Tb 0.1920 0.8080 0.5000  6 Te 2.98-3.14, 2 Ag 3.27
2 Tb 0.8080 0.1920 0.0000  6 Te 2.98-3.14, 2 Ag 3.27
3 Pm 0.1112 0.8888 0.1776  8 Te 3.23-3.37
4 Pm 0.1255 0.8745 0.7958  8 Te 3.22-3.45
5 Pm 0.8745 0.1255 0.2958  8 Te 3.22-3.45
6 Pm 0.8888 0.1112 0.6776  8 Te 3.23-3.37
7 Ag 0.4319 0.5681 0.9520  4 Te 2.74-2.86
8 Ag 0.5681 0.4319 0.4520  4 Te 2.74-2.86
9 Te 0.0419 0.9581 0.5695  2 Ag 2.74, 1 Tb 2.98
10 Te 0.2863 0.7137 0.1606  2 Tb 3.09, 3 Pm 3.29-3.32
11 Te 0.3067 0.6933 0.8308  1 Ag 2.86, 2 Tb 3.14
12 Te 0.3574 0.6426 0.4903  1 Tb 3.12, 4 Pm 3.37-3.41
13 Te 0.4985 0.5015 0.2706  1 Ag 2.75
14 Te 0.5015 0.4985 0.7706  1 Ag 2.75
15 Te 0.6426 0.3574 0.9903  1 Tb 3.12, 4 Pm 3.37-3.41
16 Te 0.6933 0.3067 0.3308  1 Ag 2.86, 2 Tb 3.14
17 Te 0.7137 0.2863 0.6606  2 Tb 3.09, 3 Pm 3.29-3.32
18 Te 0.9581 0.0419 0.0695  2 Ag 2.74, 1 Tb 2.98

=====

No. 7
Computed, not measured: crystalline Ho2ThTl at its relaxed geometry at the GGA-PBE level of DFT.

DFT total energy in eV per cell: -19.688
Calculated density in Mg/m³: 10.92
Crystal system: tetragonal
ΔH_f (0 K) in eV/atom: -0.19
SG: P4/mmm, No. 123

Unit cell a=3.5971 b=3.5971 c=9.0070 alpha=90.00 beta=90.00 gamma=90.00
Last column: nearest neighbours and their distance in Å.
Fractional positions:
1 Ho 0.0000 0.0000 0.2343  4 Tl 3.30, 4 Th 3.49, 4 Ho 3.60
2 Ho 0.0000 0.0000 0.7657  4 Tl 3.30, 4 Th 3.49, 4 Ho 3.60
3 Th 0.5000 0.5000 0.5000  8 Ho 3.49, 4 Th 3.60
4 Tl 0.5000 0.5000 0.0000  8 Ho 3.30, 4 Tl 3.60

=====

No. 8
Computed, not measured: crystalline Nd3Er4Th at its relaxed geometry at the GGA-PBE level of DFT.

DFT total energy in eV per cell: -79.198
Calculated density in Mg/m³: 8.44
Crystal system: orthorhombic
ΔH_f (0 K) in eV/atom: 0.05
SG: Pmn2_1, No. 31

Unit cell a=11.5586 b=7.2376 c=6.2762 alpha=90.00 beta=90.00 gamma=90.00
Last column: nearest neighbours and their distance in Å.
Fractional positions:
1 Nd 0.0000 0.1215 0.0000  4 Nd 3.55-3.57, 2 Th 3.57-3.68, 6 Er 3.58-3.68
2 Nd 0.2474 0.1242 0.3350  4 Nd 3.55-3.62, 2 Th 3.56-3.57, 6 Er 3.57-3.68
3 Nd 0.2526 0.8758 0.8350  4 Nd 3.55-3.62, 2 Th 3.56-3.57, 6 Er 3.57-3.68
4 Nd 0.5000 0.8785 0.5000  4 Nd 3.55-3.57, 2 Th 3.57-3.68, 6 Er 3.58-3.68
5 Nd 0.7474 0.8758 0.8350  4 Nd 3.55-3.62, 2 Th 3.56-3.57, 6 Er 3.57-3.68
6 Nd 0.7526 0.1242 0.3350  4 Nd 3.55-3.62, 2 Th 3.56-3.57, 6 Er 3.57-3.68
7 Er 0.0000 0.3790 0.5052  6 Er 3.52-3.63, 2 Th 3.55-3.68, 4 Nd 3.57-3.68
8 Er 0.0000 0.6264 0.0082  6 Er 3.56-3.63, 4 Nd 3.58-3.65, 2 Th 3.59-3.61
9 Er 0.2482 0.6237 0.3439  6 Er 3.52-3.61, 1 Th 3.54, 5 Nd 3.58-3.68
10 Er 0.2518 0.3763 0.8439  6 Er 3.52-3.61, 1 Th 3.54, 5 Nd 3.58-3.68
11 Er 0.5000 0.3736 0.5082  6 Er 3.56-3.63, 4 Nd 3.58-3.65, 2 Th 3.59-3.61
12 Er 0.5000 0.6210 0.0052  6 Er 3.52-3.63, 2 Th 3.55-3.68, 4 Nd 3.57-3.68
13 Er 0.7482 0.3763 0.8439  6 Er 3.52-3.61, 1 Th 3.54, 5 Nd 3.58-3.68
14 Er 0.7518 0.6237 0.3439  6 Er 3.52-3.61, 1 Th 3.54, 5 Nd 3.58-3.68
15 Th 0.0000 0.8700 0.5101  6 Er 3.54-3.68, 6 Nd 3.56-3.68
16 Th 0.5000 0.1300 0.0101  6 Er 3.54-3.68, 6 Nd 3.56-3.68

=====

No. 9
Computed, not measured: crystalline Sr2Sm3Te6 at its relaxed geometry at the GGA-PBE level of DFT.

DFT total energy in eV per cell: -53.371
Calculated density in Mg/m³: 5.73
Crystal system: monoclinic
ΔE_f (raw) in kJ/mol of formula units: -1640.2
SG: C2/m, No. 12

Unit cell a=7.7815 b=7.7815 c=8.1184 alpha=99.21 beta=99.21 gamma=120.01
Last column: nearest neighbours and their distance in Å.
Fractional positions:
1 Sr 0.1664 0.8336 0.0000  6 Te 3.30
2 Sr 0.8336 0.1664 0.0000  6 Te 3.30
3 Sm 0.0000 0.0000 0.5000  6 Te 3.16-3.18
4 Sm 0.3326 0.6674 0.5000  6 Te 3.16-3.18
5 Sm 0.6674 0.3326 0.5000  6 Te 3.16-3.18
6 Te 0.0821 0.4122 0.7362  3 Sm 3.16-3.18, 2 Sr 3.30
7 Te 0.2577 0.2577 0.2647  3 Sm 3.16-3.18, 2 Sr 3.30
8 Te 0.4122 0.0821 0.7362  3 Sm 3.16-3.18, 2 Sr 3.30
9 Te 0.5878 0.9179 0.2638  3 Sm 3.16-3.18, 2 Sr 3.30
10 Te 0.7423 0.7423 0.7353  3 Sm 3.16-3.18, 2 Sr 3.30
11 Te 0.9179 0.5878 0.2638  3 Sm 3.16-3.18, 2 Sr 3.30

=====

No. 10
Computed, not measured: crystalline LiThGaCl6 at its relaxed geometry at the GGA-PBE level of DFT.

DFT total energy in eV per cell: -78.687
Calculated density in Mg/m³: 3.19
Crystal system: trigonal
ΔE_f (raw) in kJ/mol of formula units: -1534.4
SG: P-31c, No. 163

Unit cell a=6.8673 b=6.8673 c=13.2963 alpha=90.00 beta=90.00 gamma=120.00
Last column: nearest neighbours and their distance in Å.
Fractional positions:
1 Li 0.3333 0.6667 0.2500  6 Cl 2.63
2 Li 0.6667 0.3333 0.7500  6 Cl 2.63
3 Th 0.3333 0.6667 0.7500  6 Cl 2.70
4 Th 0.6667 0.3333 0.2500  6 Cl 2.70
5 Ga 0.0000 0.0000 0.0000  6 Cl 3.07
6 Ga 0.0000 0.0000 0.5000  6 Cl 3.07
7 Cl 0.0076 0.3645 0.1369  1 Li 2.63, 1 Th 2.70
8 Cl 0.0076 0.6431 0.3631  1 Li 2.63, 1 Th 2.70
9 Cl 0.3569 0.3645 0.3631  1 Li 2.63, 1 Th 2.70
10 Cl 0.3569 0.9924 0.1369  1 Li 2.63, 1 Th 2.70
11 Cl 0.3645 0.0076 0.6369  1 Li 2.63, 1 Th 2.70
12 Cl 0.3645 0.3569 0.8631  1 Li 2.63, 1 Th 2.70
13 Cl 0.6355 0.6431 0.1369  1 Li 2.63, 1 Th 2.70
14 Cl 0.6355 0.9924 0.3631  1 Li 2.63, 1 Th 2.70
15 Cl 0.6431 0.0076 0.8631  1 Li 2.63, 1 Th 2.70
16 Cl 0.6431 0.6355 0.6369  1 Li 2.63, 1 Th 2.70
17 Cl 0.9924 0.3569 0.6369  1 Li 2.63, 1 Th 2.70
18 Cl 0.9924 0.6355 0.8631  1 Li 2.63, 1 Th 2.70

=====

No. 11
Computed, not measured: crystalline SrGaHg14 at its relaxed geometry at the GGA-PBE level of DFT.

DFT total energy in eV per cell: -19.083
Calculated density in Mg/m³: 10.40
Crystal system: orthorhombic
ΔH_f (0 K) in eV/atom: -0.04
SG: Imma, No. 74

Unit cell a=10.7552 b=10.7552 c=10.7552 alpha=114.68 beta=111.37 gamma=102.60
Last column: nearest neighbours and their distance in Å.
Fractional positions:
1 Sr 0.3144 0.0644 0.2500  6 Hg 3.29-3.33
2 Sr 0.6856 0.9356 0.7500  6 Hg 3.29-3.33
3 Ga 0.0000 0.5000 0.5000  4 Hg 2.91
4 Ga 0.5000 0.5000 0.0000  4 Hg 2.91
5 Hg 0.0047 0.2309 0.0608  6 Hg 3.07-3.38, 1 Sr 3.33
6 Hg 0.0047 0.9439 0.7738  6 Hg 3.07-3.38, 1 Sr 3.33
7 Hg 0.0197 0.1452 0.6255  7 Hg 2.89-3.19
8 Hg 0.0197 0.3942 0.8745  7 Hg 2.89-3.19
9 Hg 0.1874 0.5482 0.3703  1 Ga 2.91, 5 Hg 3.01-3.24
10 Hg 0.1874 0.8172 0.6393  1 Ga 2.91, 5 Hg 3.01-3.24
11 Hg 0.2458 0.3517 0.6059  3 Hg 2.99-3.35
12 Hg 0.2458 0.6399 0.8941  3 Hg 2.99-3.35
13 Hg 0.3221 0.1828 0.8703  1 Ga 2.91, 5 Hg 3.01-3.24
14 Hg 0.3221 0.4518 0.1393  1 Ga 2.91, 5 Hg 3.01-3.24
15 Hg 0.3299 0.0561 0.5608  6 Hg 3.07-3.38, 1 Sr 3.33
16 Hg 0.3299 0.7691 0.2738  6 Hg 3.07-3.38, 1 Sr 3.33
17 Hg 0.4679 0.5886 0.6207  5 Hg 2.93-3.01
18 Hg 0.4679 0.8472 0.8793  5 Hg 2.93-3.01
19 Hg 0.5321 0.1528 0.1207  5 Hg 2.93-3.01
20 Hg 0.5321 0.4114 0.3793  5 Hg 2.93-3.01
21 Hg 0.6701 0.2309 0.7262  6 Hg 3.07-3.38, 1 Sr 3.33
22 Hg 0.6701 0.9439 0.4392  6 Hg 3.07-3.38, 1 Sr 3.33
23 Hg 0.6779 0.5482 0.8607  1 Ga 2.91, 5 Hg 3.01-3.24
24 Hg 0.6779 0.8172 0.1297  1 Ga 2.91, 5 Hg 3.01-3.24
25 Hg 0.7542 0.3601 0.1059  3 Hg 2.99-3.35
26 Hg 0.7542 0.6483 0.3941  3 Hg 2.99-3.35
27 Hg 0.8126 0.1828 0.3607  1 Ga 2.91, 5 Hg 3.01-3.24
28 Hg 0.8126 0.4518 0.6297  1 Ga 2.91, 5 Hg 3.01-3.24
29 Hg 0.9803 0.6058 0.1255  7 Hg 2.89-3.19
30 Hg 0.9803 0.8548 0.3745  7 Hg 2.89-3.19
31 Hg 0.9953 0.0561 0.2262  6 Hg 3.07-3.38, 1 Sr 3.33
32 Hg 0.9953 0.7691 0.9392  6 Hg 3.07-3.38, 1 Sr 3.33

=====

No. 12
Computed, not measured: crystalline CaTl2Ag2 at its relaxed geometry at the GGA-PBE level of DFT.

DFT total energy in eV per cell: -25.190
Calculated density in Mg/m³: 8.71
Crystal system: tetragonal
ΔH_f (0 K) in eV/atom: -0.03
SG: P4/mbm, No. 127

Unit cell a=8.4244 b=8.4244 c=3.5711 alpha=90.00 beta=90.00 gamma=90.00
Last column: nearest neighbours and their distance in Å.
Fractional positions:
1 Ca 0.0000 0.0000 0.0000  4 Tl 3.27, 2 Ca 3.57, 8 Ag 3.63
2 Ca 0.5000 0.5000 0.0000  4 Tl 3.27, 2 Ca 3.57, 8 Ag 3.63
3 Tl 0.1373 0.3627 0.0000  6 Ag 2.98-3.10, 2 Ca 3.27, 1 Tl 3.27
4 Tl 0.3627 0.8627 0.0000  6 Ag 2.98-3.10, 2 Ca 3.27, 1 Tl 3.27
5 Tl 0.6373 0.1373 0.0000  6 Ag 2.98-3.10, 2 Ca 3.27, 1 Tl 3.27
6 Tl 0.8627 0.6373 0.0000  6 Ag 2.98-3.10, 2 Ca 3.27, 1 Tl 3.27
7 Ag 0.1622 0.6622 0.5000  6 Tl 2.98-3.10
8 Ag 0.3378 0.1622 0.5000  6 Tl 2.98-3.10
9 Ag 0.6622 0.8378 0.5000  6 Tl 2.98-3.10
10 Ag 0.8378 0.3378 0.5000  6 Tl 2.98-3.10